The following is a PBE+U calculation of crystalline InCo2O at its relaxed geometry, from the Alexandria database.

Geometry as POSCAR:
```
InCo2O
1.0
5.082 0.000 0.000
0.000 5.082 0.000
2.541 2.541 5.424
O Co In
2 4 2
direct
0.500 0.500 0.000
0.250 0.750 0.500
0.375 0.125 0.250
0.875 0.625 0.750
0.375 0.625 0.250
0.375 0.625 0.750
0.750 0.250 0.500
0.000 0.000 0.000
```

Values from the calculation:
The total DFT energy (no corrections) is -4.515 eV per atom. Its space group is No. 141. For the calculated density, the calculation gives 5.90 g cm⁻³.